1.
PBE Ni2BiBPt, relaxed; calculated total energy = -24.8 eV for the cell shown; formation enthalpy at 0 K = 3.4 eV per formula unit; total moment = 0.284 μB/f.u.; SG = P4/mmm, No. 123
1.0
4.790 0.000 0.000
0.000 4.790 0.000
0.000 0.000 3.943
Ni Bi B Pt
2 1 1 1
Direct
0.000 0.500 0.000 Ni
0.500 0.000 0.000 Ni
0.000 0.000 0.500 Bi
0.500 0.500 0.500 B
0.500 0.500 0.000 Pt

***

2.
PBE Ni2BiBRh, relaxed; calculated total energy = -29.5 eV for the cell shown; formation enthalpy at 0 K = 0.0 eV per formula unit; total moment = 0.000 μB/f.u.; SG = P4/mmm, No. 123
1.0
4.077 0.000 0.000
0.000 4.077 0.000
0.000 0.000 4.195
Ni Bi B Rh
2 1 1 1
Direct
0.000 0.500 0.000 Ni
0.500 0.000 0.000 Ni
0.000 0.000 0.500 Bi
0.500 0.500 0.000 B
0.500 0.500 0.500 Rh

***

3.
PBE NiBiBRh2, relaxed; calculated total energy = -31.3 eV for the cell shown; formation enthalpy at 0 K = -0.3 eV per formula unit; total moment = 0.000 μB/f.u.; SG = P4/mmm, No. 123
1.0
4.234 0.000 0.000
0.000 4.234 0.000
0.000 0.000 4.074
Ni Bi B Rh
1 1 1 2
Direct
0.000 0.000 0.000 Ni
0.500 0.500 0.000 Bi
0.000 0.000 0.500 B
0.000 0.500 0.500 Rh
0.500 0.000 0.500 Rh

***

4.
PBE NiBiB2Se, relaxed; calculated total energy = -19.6 eV for the cell shown; total moment = 0.000 μB/f.u.; SG = P4/mmm, No. 123; uncorrected formation energy = 1.377 eV/atom
1.0
4.234 0.000 0.000
0.000 4.234 0.000
0.000 0.000 4.574
Ni Bi B Se
1 1 2 1
Direct
0.000 0.000 0.000 Ni
0.500 0.500 0.000 Bi
0.000 0.500 0.500 B
0.500 0.000 0.500 B
0.000 0.000 0.500 Se

***

5.
PBE SiNiBi2B, relaxed; calculated total energy = -20.4 eV for the cell shown; total moment = 0.000 μB/f.u.; SG = P4/mmm, No. 123; uncorrected formation energy = 1.055 eV/atom
1.0
5.251 0.000 0.000
0.000 5.251 0.000
0.000 0.000 4.192
Si Ni Bi B
1 1 2 1
Direct
0.000 0.000 0.000 Si
0.000 0.000 0.500 Ni
0.000 0.500 0.500 Bi
0.500 0.000 0.500 Bi
0.500 0.500 0.000 B

***

6.
PBE ZnNi2BiB, relaxed; calculated total energy = -14.4 eV for the cell shown; formation enthalpy at 0 K = 9.0 eV per formula unit; total moment = 0.000 μB/f.u.; SG = P4/mmm, No. 123
1.0
4.828 0.000 0.000
0.000 4.828 0.000
0.000 0.000 5.229
Zn Ni Bi B
1 2 1 1
Direct
0.000 0.000 0.000 Zn
0.000 0.500 0.500 Ni
0.500 0.000 0.500 Ni
0.000 0.000 0.500 Bi
0.500 0.500 0.000 B